No. 1
Entry from Alexandria: a relaxed FeRePt2 crystal (PBE).

Output
ΔE_f: -0.13 eV per atom
Theoretical density: 17.95 g/cm3
ΔE to the lowest computed polymorph: 0.030 eV per formula unit
Fermi-level density of states: 0.81 states/eV/atom
Space group: P4/mmm
Volume: 14.620 Å³/atom

```
FeRePt2
1.0
2.732 0.000 0.000
0.000 2.732 0.000
0.000 0.000 7.835
Pt Fe Re
2 1 1
direct
0.000 0.000 0.997
0.000 0.000 0.503
0.500 0.500 0.750
0.500 0.500 0.250
```



No. 2
Entry from Alexandria: a relaxed Fe4RePt5 crystal (PBE).

Output
ΔE_f: -0.20 eV per atom
Theoretical density: 16.11 g/cm3
Fermi-level density of states: 0.55 states/eV/atom
Space group: P4/mmm
Volume: 14.274 Å³/atom

```
Fe4RePt5
1.0
2.730 0.000 0.000
0.000 2.730 0.000
0.000 0.000 19.154
Fe Pt Re
4 5 1
direct
0.000 0.000 0.402
0.000 0.000 0.205
0.000 0.000 0.598
0.000 0.000 0.795
0.500 0.500 0.104
0.500 0.500 0.303
0.500 0.500 0.896
0.500 0.500 0.500
0.500 0.500 0.697
0.000 0.000 0.000
```



No. 3
Entry from Alexandria: a relaxed FeRePt2 crystal (PBE).

Output
ΔE_f: -0.10 eV per atom
Theoretical density: 18.00 g/cm3
ΔE to the lowest computed polymorph: 0.151 eV per formula unit
Fermi-level density of states: 1.03 states/eV/atom
Space group: Pmmm
Volume: 14.584 Å³/atom

```
FeRePt2
1.0
-2.371 1.318 -0.186
-1.185 -2.531 -2.834
-2.096 -3.237 3.766
Pt Re Fe
2 1 1
direct
0.000 0.000 0.001
0.000 0.000 0.499
0.500 0.500 0.250
0.500 0.500 0.750
```



No. 4
Entry from Alexandria: a relaxed SrFeRe2Pt crystal (PBE).

Output
ΔE_f: 3.27 eV per atom
Theoretical density: 11.84 g/cm3
Fermi-level density of states: 1.16 states/eV/atom
Space group: P4/mmm
Volume: 19.935 Å³/atom

```
SrFeRe2Pt
1.0
-1.306 -4.336 -1.328
2.609 -1.760 3.180
-3.605 0.153 3.043
Pt Sr Re Fe
1 1 2 1
direct
0.500 0.500 0.500
0.000 0.000 0.000
0.000 0.000 0.500
0.500 0.000 0.000
0.000 0.500 0.000
```